Material: ThGeOs2C
Method: DFT, GGA-PBE
State: optimized geometry

abc: 6.009 6.009 7.303
angles: 90.00 90.00 140.55
Positions (direct):
Th1 0.054 0.946 0.750
Th2 0.946 0.054 0.250
Ge1 0.229 0.771 0.250
Ge2 0.771 0.229 0.750
Os1 0.337 0.663 0.556
Os2 0.337 0.663 0.944
Os3 0.663 0.337 0.056
Os4 0.663 0.337 0.444
C1 0.500 0.500 0.000
C2 0.500 0.500 0.500

Results
- Final energy: -45.5 eV/f.u.
- Calculated volume: 16.75 A^3/atom
- D(E_F): 2.193 states/eV/f.u.
- Formation enthalpy at 0 K: -0.346 eV per atom

***

Material: CaMgAl
Method: DFT, GGA-PBE
State: optimized geometry

abc: 9.585 5.961 5.961
angles: 59.53 90.00 90.00
Positions (direct):
Ca1 0.179 0.000 0.000
Ca2 0.308 0.335 0.335
Ca3 0.692 0.335 0.335
Ca4 0.821 0.000 0.000
Mg1 0.241 0.672 0.672
Mg2 0.500 0.330 0.837
Mg3 0.500 0.837 0.330
Mg4 0.759 0.672 0.672
Al1 0.000 0.015 0.495
Al2 0.000 0.495 0.015
Al3 0.000 0.496 0.496
Al4 0.500 0.840 0.840

Results
- Final energy: -7.9 eV/f.u.
- Calculated volume: 24.46 A^3/atom
- D(E_F): 1.565 states/eV/f.u.
- Formation enthalpy at 0 K: -0.198 eV per atom

***

Material: Pa2AgGeO8
Method: DFT, GGA-PBE
State: optimized geometry

abc: 5.107 5.107 7.212
angles: 90.00 90.00 120.00
Positions (direct):
Pa1 0.333 0.667 0.339
Pa2 0.667 0.333 0.661
Ag1 0.000 0.000 0.000
Ge1 0.000 0.000 0.500
O1 0.173 0.346 0.648
O2 0.173 0.827 0.648
O3 0.333 0.667 0.080
O4 0.346 0.173 0.352
O5 0.654 0.827 0.648
O6 0.667 0.333 0.920
O7 0.827 0.173 0.352
O8 0.827 0.654 0.352

Results
- Final energy: -90.7 eV/f.u.
- Calculated volume: 13.58 A^3/atom
- D(E_F): 3.556 states/eV/f.u.
- Formation energy without anion corrections: -2.045 eV/atom

***

Material: SrTlV2Sn
Method: DFT, GGA-PBE
State: optimized geometry

abc: 5.625 5.625 5.972
angles: 90.00 90.00 90.00
Positions (direct):
Sr1 0.000 0.000 0.000
Tl1 0.500 0.500 0.500
V1 0.000 0.500 0.000
V2 0.500 0.000 0.000
Sn1 0.000 0.000 0.500

Results
- Final energy: -17.4 eV/f.u.
- Calculated volume: 37.79 A^3/atom
- D(E_F): 6.168 states/eV/f.u.
- Formation enthalpy at 0 K: 1.774 eV per atom

***

Material: RbFeCo
Method: DFT, GGA-PBE
State: optimized geometry

abc: 4.048 4.050 10.425
angles: 89.72 89.85 82.28
Positions (direct):
Rb1 0.236 0.234 0.284
Rb2 0.764 0.766 0.716
Fe1 0.218 0.783 0.000
Fe2 0.782 0.217 0.000
Co1 0.291 0.291 0.917
Co2 0.709 0.709 0.083

Results
- Final energy: -14.3 eV/f.u.
- Calculated volume: 28.23 A^3/atom
- D(E_F): 3.941 states/eV/f.u.
- Formation enthalpy at 0 K: 0.748 eV per atom
- Excess energy over the best structure of this formula in the dataset: 234 meV/atom

***

Material: PrEr10Tm4
Method: DFT, GGA-PBE
State: optimized geometry

abc: 8.635 8.635 8.635
angles: 110.64 110.64 107.16
Positions (direct):
Pr1 0.000 0.000 0.000
Er1 0.046 0.953 0.659
Er2 0.047 0.706 0.093
Er3 0.250 0.750 0.500
Er4 0.294 0.387 0.341
Er5 0.387 0.046 0.093
Er6 0.613 0.954 0.907
Er7 0.706 0.613 0.659
Er8 0.750 0.250 0.500
Er9 0.953 0.294 0.907
Er10 0.954 0.047 0.341
Tm1 0.224 0.547 0.772
Tm2 0.453 0.224 0.677
Tm3 0.547 0.776 0.323
Tm4 0.776 0.453 0.228

Results
- Final energy: -60.7 eV/f.u.
- Calculated volume: 33.00 A^3/atom
- D(E_F): 26.546 states/eV/f.u.
- Formation enthalpy at 0 K: 0.505 eV per atom

***

Material: Li2Zn2Ag5
Method: DFT, GGA-PBE
State: optimized geometry

abc: 4.280 5.723 6.711
angles: 102.58 91.58 111.93
Positions (direct):
Li1 0.169 0.340 0.013
Li2 0.831 0.660 0.987
Zn1 0.393 0.777 0.332
Zn2 0.607 0.223 0.668
Ag1 0.049 0.085 0.315
Ag2 0.265 0.536 0.666
Ag3 0.500 0.000 0.000
Ag4 0.735 0.464 0.334
Ag5 0.951 0.915 0.685

Results
- Final energy: -21.7 eV/f.u.
- Calculated volume: 16.42 A^3/atom
- D(E_F): 2.532 states/eV/f.u.
- Formation enthalpy at 0 K: -0.119 eV per atom
- Excess energy over the best structure of this formula in the dataset: 0 meV/atom

***

Material: KCd2Te
Method: DFT, GGA-PBE
State: optimized geometry

abc: 6.077 6.077 6.077
angles: 135.55 115.07 82.10
Positions (direct):
K1 0.000 0.000 0.000
Cd1 0.500 0.500 0.000
Cd2 0.700 0.200 0.500
Te1 0.299 0.799 0.500

Results
- Final energy: -7.1 eV/f.u.
- Calculated volume: 34.37 A^3/atom
- D(E_F): 0.750 states/eV/f.u.
- Formation energy without anion corrections: -0.261 eV/atom